# 1
The following is a DFT calculation (GGA-PBE) of a relaxed structure of Dy5HoSc2.

Cell: 8.780 8.780 8.775 Å, 120.02 120.02 90.00°
Atoms (fractional coordinates):
Dy 0.493 0.690 0.683
Dy 0.810 0.007 0.317
Dy 0.000 0.000 0.000
Dy 0.500 0.500 0.000
Dy 0.190 0.993 0.683
Dy 0.690 0.190 0.683
Dy 0.993 0.493 0.683
Dy 0.310 0.810 0.317
Dy 0.007 0.507 0.317
Dy 0.507 0.310 0.317
Ho 0.750 0.750 0.500
Ho 0.250 0.250 0.500
Sc 0.142 0.358 0.000
Sc 0.642 0.142 0.000
Sc 0.358 0.858 0.000
Sc 0.858 0.642 0.000

Computed properties:
VASP energy in eV/atom: -4.923
Symmetry: I4/mcm (140)
Relative energy among the computed polymorphs in eV/atom: 0.0822
ΔH_f (0 K) in eV/atom: 0.11

=====

# 2
The following is a DFT calculation (GGA-PBE) of a relaxed structure of ScAu3.

Cell: 4.727 4.727 4.727 Å, 60.00 60.00 60.00°
Atoms (fractional coordinates):
Sc 0.750 0.750 0.750
Au 0.000 0.000 0.000
Au 0.500 0.500 0.500
Au 0.250 0.250 0.250

Computed properties:
VASP energy in eV/atom: -4.619
Symmetry: Fm-3m (225)
ΔH_f (0 K) in eV/atom: -0.58

=====

# 3
The following is a DFT calculation (GGA-PBE) of a relaxed structure of Co2Sn2Os.

Cell: 7.295 7.295 2.915 Å, 90.00 90.00 90.00°
Atoms (fractional coordinates):
Co 0.145 0.645 0.500
Co 0.645 0.855 0.500
Co 0.855 0.355 0.500
Co 0.355 0.145 0.500
Os 0.000 0.000 0.000
Os 0.500 0.500 0.000
Sn 0.346 0.846 0.000
Sn 0.846 0.654 0.000
Sn 0.654 0.154 0.000
Sn 0.154 0.346 0.000

Computed properties:
VASP energy in eV/atom: -6.229
Symmetry: P4/mbm (127)
Relative energy among the computed polymorphs in eV/atom: 0.0749
ΔH_f (0 K) in eV/atom: 0.46

=====

# 4
The following is a DFT calculation (GGA-PBE) of a relaxed structure of Mg2ZnCdRe.

Cell: 4.999 5.129 4.999 Å, 90.00 90.00 90.00°
Atoms (fractional coordinates):
Re 0.000 0.500 0.000
Zn 0.500 0.500 0.500
Mg 0.000 0.000 0.500
Mg 0.500 0.000 0.000
Cd 0.000 0.000 0.000

Computed properties:
VASP energy in eV/atom: -2.221
Symmetry: P4/mmm (123)
ΔH_f (0 K) in eV/atom: 1.34

=====

- Which of these has the highest ΔH_f (0 K)?
  Mg2ZnCdRe

=====

- Among the records above, which one has the lowest ΔH_f (0 K)?
  ScAu3

=====

- The lowest ΔH_f (0 K) belongs to which entry?
  ScAu3